[1]
# SmLuCdNi

A relaxed SmLuCdNi crystal (PBE-GGA, Alexandria).

Summary:
The formation energy comes out at -244 meV/atom. Its space group is F-43m. The energy is -4.2278 eV/atom.

Cell: 5.0566 5.0566 5.0566 Å, 60.00 60.00 60.00°
Fractional coordinates of all 4 atoms:
Ni (0.7500, 0.7500, 0.7500)
Sm (0.0000, 0.0000, 0.0000)
Lu (0.5000, 0.5000, 0.5000)
Cd (0.2500, 0.2500, 0.2500)

=====

[2]
# YLuCdNi

A relaxed YLuCdNi crystal (PBE-GGA, Alexandria).

Summary:
The formation energy comes out at -280 meV/atom. Its space group is F-43m. The energy is -4.7005 eV/atom.

Cell: 5.0099 5.0099 5.0099 Å, 60.00 60.00 60.00°
Fractional coordinates of all 4 atoms:
Y (0.7500, 0.7500, 0.7500)
Cd (0.5000, 0.5000, 0.5000)
Ni (0.0000, 0.0000, 0.0000)
Lu (0.2500, 0.2500, 0.2500)

=====

[3]
# LuZnCdNi

A relaxed LuZnCdNi crystal (PBE-GGA, Alexandria).

Summary:
The formation energy comes out at -239 meV/atom. Its space group is F-43m. The energy is -3.3623 eV/atom.

Cell: 4.6507 4.6507 4.6507 Å, 60.00 60.00 60.00°
Fractional coordinates of all 4 atoms:
Cd (0.2500, 0.2500, 0.2500)
Lu (0.7500, 0.7500, 0.7500)
Zn (0.5000, 0.5000, 0.5000)
Ni (0.0000, 0.0000, 0.0000)

=====

[4]
# Lu3Cd5O12

A relaxed Lu3Cd5O12 crystal (PBE-GGA, Alexandria).

Summary:
The calculation puts the formation energy from raw total energies at -1.585 eV/atom. Its space group is Ia-3d. The energy is -5.4667 eV/atom.

Cell: 11.3198 11.3198 11.3198 Å, 109.47 109.47 109.47°
Last column: magnetic moment on the atom in μB.
Fractional coordinates of all 80 atoms:
Lu (0.1250, 0.2500, 0.8750)  -0.01
Lu (0.8750, 0.1250, 0.2500)  -0.01
Lu (0.2500, 0.6250, 0.8750)  -0.01
Lu (0.1250, 0.8750, 0.7500)  -0.01
Lu (0.3750, 0.6250, 0.2500)  -0.01
Lu (0.3750, 0.7500, 0.6250)  -0.01
Lu (0.7500, 0.8750, 0.6250)  -0.01
Lu (0.6250, 0.3750, 0.7500)  -0.01
Lu (0.7500, 0.3750, 0.1250)  -0.01
Lu (0.8750, 0.7500, 0.1250)  -0.01
Lu (0.2500, 0.1250, 0.3750)  -0.01
Lu (0.6250, 0.2500, 0.3750)  -0.01
Cd (0.5000, 0.0000, 0.0000)  0.03
Cd (0.5000, 0.5000, 0.0000)  0.03
Cd (0.0000, 0.5000, 0.5000)  0.03
Cd (0.2500, 0.8750, 0.1250)  0.01
Cd (0.3750, 0.2500, 0.1250)  0.01
Cd (0.0000, 0.5000, 0.0000)  0.03
Cd (0.1250, 0.7500, 0.3750)  0.01
Cd (0.5000, 0.5000, 0.5000)  0.03
Cd (0.0000, 0.0000, 0.5000)  0.03
Cd (0.2500, 0.3750, 0.6250)  0.01
Cd (0.8750, 0.6250, 0.7500)  0.01
Cd (0.7500, 0.1250, 0.8750)  0.01
Cd (0.7500, 0.6250, 0.3750)  0.01
Cd (0.0000, 0.0000, 0.0000)  0.03
Cd (0.6250, 0.7500, 0.8750)  0.01
Cd (0.8750, 0.2500, 0.6250)  0.01
Cd (0.6250, 0.8750, 0.2500)  0.01
Cd (0.1250, 0.3750, 0.2500)  0.01
Cd (0.5000, 0.0000, 0.5000)  0.03
Cd (0.3750, 0.1250, 0.7500)  0.01
O (0.8314, 0.9169, 0.0609)  0.10
O (0.0831, 0.1686, 0.4391)  0.10
O (0.2705, 0.8559, 0.9391)  0.10
O (0.9169, 0.8314, 0.5609)  0.10
O (0.4145, 0.1441, 0.5831)  0.10
O (0.4145, 0.2705, 0.3314)  0.10
O (0.9169, 0.0855, 0.8559)  0.10
O (0.0609, 0.6441, 0.7295)  0.10
O (0.0609, 0.4169, 0.8314)  0.10
O (0.6441, 0.5831, 0.9145)  0.10
O (0.9391, 0.3559, 0.2705)  0.10
O (0.5609, 0.3314, 0.9169)  0.10
O (0.5855, 0.7295, 0.6686)  0.10
O (0.5855, 0.8559, 0.4169)  0.10
O (0.5831, 0.6441, 0.4145)  0.10
O (0.3314, 0.7705, 0.4145)  0.10
O (0.7705, 0.4391, 0.3559)  0.10
O (0.4169, 0.3559, 0.5855)  0.10
O (0.1441, 0.7295, 0.5609)  0.10
O (0.3559, 0.9391, 0.7705)  0.10
O (0.2705, 0.4145, 0.8314)  0.10
O (0.2295, 0.5609, 0.6441)  0.10
O (0.9145, 0.8314, 0.7705)  0.10
O (0.7295, 0.1441, 0.0609)  0.10
O (0.2295, 0.6686, 0.0855)  0.10
O (0.0855, 0.1686, 0.2295)  0.10
O (0.0855, 0.9169, 0.3559)  0.10
O (0.6441, 0.0609, 0.2295)  0.10
O (0.6686, 0.4391, 0.5831)  0.10
O (0.3314, 0.5609, 0.4169)  0.10
O (0.5609, 0.2295, 0.1441)  0.10
O (0.8314, 0.9145, 0.2705)  0.10
O (0.9391, 0.5831, 0.1686)  0.10
O (0.4391, 0.6686, 0.0831)  0.10
O (0.6686, 0.2295, 0.5855)  0.10
O (0.4169, 0.0609, 0.3314)  0.10
O (0.9145, 0.0831, 0.6441)  0.10
O (0.8559, 0.5855, 0.9169)  0.10
O (0.1686, 0.0831, 0.9391)  0.10
O (0.7295, 0.5855, 0.1686)  0.10
O (0.1686, 0.0855, 0.7295)  0.10
O (0.1441, 0.4145, 0.0831)  0.10
O (0.4391, 0.7705, 0.8559)  0.10
O (0.0831, 0.9145, 0.1441)  0.10
O (0.3559, 0.4169, 0.0855)  0.10
O (0.7705, 0.3314, 0.9145)  0.10
O (0.5831, 0.9391, 0.6686)  0.10
O (0.8559, 0.2705, 0.4391)  0.10

=====

[5]
# Lu3CdO

A relaxed Lu3CdO crystal (PBE-GGA, Alexandria).

Summary:
The calculation puts the formation energy from raw total energies at -1.297 eV/atom. Its space group is Pm-3m. The energy is -5.1843 eV/atom.

Cell: 4.6620 4.6620 4.6620 Å, 90.00 90.00 90.00°
Fractional coordinates of all 5 atoms:
Cd (0.5000, 0.5000, 0.5000)
Lu (0.0000, 0.5000, 0.0000)
Lu (0.0000, 0.0000, 0.5000)
Lu (0.5000, 0.0000, 0.0000)
O (0.0000, 0.0000, 0.0000)

=====

[6]
# Lu2CdOs

A relaxed Lu2CdOs crystal (PBE-GGA, Alexandria).

Summary:
The formation energy comes out at -286 meV/atom. The energy above the most stable polymorph in this dataset is 0.110 eV/atom. Its space group is Fm-3m. The energy is -5.5825 eV/atom.

Cell: 4.9115 4.9115 4.9115 Å, 60.00 60.00 60.00°
Fractional coordinates of all 4 atoms:
Os (0.0000, 0.0000, 0.0000)
Lu (0.2500, 0.2500, 0.2500)
Lu (0.7500, 0.7500, 0.7500)
Cd (0.5000, 0.5000, 0.5000)